[1]
Computed, not measured: a relaxed structure of ZrNi2Se2 at the GGA-PBE level of DFT.

Summary:
Magnetic moment: 0.00 μB/f.u.
Crystal system: tetragonal
ΔE_f (raw): -2.233 eV per formula unit
E above lowest polymorph: 0.0 meV/atom
Uncorrected energy: -5.8625 eV per atom
Calculated density: 7.7 g/cm³

a b c (Å): 3.5339 3.5339 12.6804
angles (deg): 90.00 90.00 90.00
Closest atoms and distances in Å follow each position.
Space group I4/mmm (No. 139)
Unique sites:
Zr1 0.0000 0.0000 0.0000 (multiplicity 2)  8 Se 2.91
Ni1 0.0000 0.5000 0.2500 (multiplicity 4)  4 Se 2.44, 4 Ni 2.50
Se1 0.0000 0.0000 0.3825 (multiplicity 4)  4 Ni 2.44

---

[2]
Computed, not measured: a relaxed structure of ZrNiSe4 at the GGA-PBE level of DFT.

Summary:
Magnetic moment: 0.00 μB/f.u.
Crystal system: cubic
ΔE_f (raw): 3.558 eV per formula unit
Uncorrected energy: -4.1183 eV per atom
Calculated density: 6.5 g/cm³

a b c (Å): 7.8107 7.8107 7.8107
angles (deg): 90.00 90.00 90.00
Closest atoms and distances in Å follow each position.
Space group F-43m (No. 216)
Unique sites:
Zr1 0.0000 0.0000 0.0000 (multiplicity 4)  12 Se 3.24, 4 Ni 3.38
Ni1 0.2500 0.2500 0.7500 (multiplicity 4)  12 Se 3.24, 4 Zr 3.38
Se1 0.1247 0.1247 0.3753 (multiplicity 16)  6 Se 2.75-2.77

---

Number 1: DOS at the Fermi energy 3.25 states/eV/f.u.. Number 2: DOS at the Fermi energy 4.10 states/eV/f.u..